## NbAgSO (PBE)

Data for a geometry-optimized NbAgSO structure.

Properties
Total magnetic moment = 0.0 μB per cell
Calculated volume = 18.36 Å³/atom
Excess energy over the best structure of this formula in the dataset = 4.5 kJ per mole of atoms

Cell: 3.1421 8.1426 5.7407 Å, 90.00 90.00 90.00°
With the nearest neighbours (Å) after each atom.
Space group Pmc2_1 (No. 26)
Unique sites:
Nb  0.0000  0.1485  0.0000 x2  2 O 1.86-2.01
Ag  0.5000  0.3471  0.6404 x2  2 S 2.59-2.61
S  0.5000  0.3346  0.1890 x2  2 Nb 2.44, 2 Ag 2.59-2.61
O  0.0000  0.0393  0.6855 x2  2 Nb 1.86-2.01